(1)
VASP calculation (PBE) on a relaxed MgAlH crystal.

Summary:
Total moment in μB per cell: 0.000
Uncorrected energy in eV/atom: -2.8142
Theoretical density in g/cm3: 2.0
SG: No. 61

Lattice parameters (Å, degrees): 5.4073 11.9604 10.6982 90.00 90.00 90.00
Positions (direct):
Mg: 0.1819 0.0563 0.1656
Mg: 0.1819 0.4437 0.6656
Mg: 0.2332 0.6876 0.4946
Mg: 0.2332 0.8124 0.9946
Mg: 0.2668 0.1876 0.4946
Mg: 0.2668 0.3124 0.9946
Mg: 0.3181 0.5563 0.1656
Mg: 0.3181 0.9437 0.6656
Mg: 0.6819 0.0563 0.3344
Mg: 0.6819 0.4437 0.8344
Mg: 0.7332 0.6876 0.0054
Mg: 0.7332 0.8124 0.5054
Mg: 0.7668 0.1876 0.0054
Mg: 0.7668 0.3124 0.5054
Mg: 0.8181 0.5563 0.3344
Mg: 0.8181 0.9437 0.8344
Al: 0.0439 0.1724 0.7578
Al: 0.0439 0.3276 0.2578
Al: 0.1716 0.5381 0.9113
Al: 0.1716 0.9619 0.4113
Al: 0.3284 0.0381 0.9113
Al: 0.3284 0.4619 0.4113
Al: 0.4561 0.6724 0.7578
Al: 0.4561 0.8276 0.2578
Al: 0.5439 0.1724 0.7422
Al: 0.5439 0.3276 0.2422
Al: 0.6716 0.5381 0.5887
Al: 0.6716 0.9619 0.0887
Al: 0.8284 0.0381 0.5887
Al: 0.8284 0.4619 0.0887
Al: 0.9561 0.6724 0.7422
Al: 0.9561 0.8276 0.2422
H: 0.0102 0.7288 0.1191
H: 0.0102 0.7712 0.6191
H: 0.0499 0.2133 0.1299
H: 0.0499 0.2867 0.6299
H: 0.4501 0.7133 0.1299
H: 0.4501 0.7867 0.6299
H: 0.4898 0.2288 0.1191
H: 0.4898 0.2712 0.6191
H: 0.5102 0.7288 0.3809
H: 0.5102 0.7712 0.8809
H: 0.5499 0.2133 0.3701
H: 0.5499 0.2867 0.8701
H: 0.9501 0.7133 0.3701
H: 0.9501 0.7867 0.8701
H: 0.9898 0.2288 0.3809
H: 0.9898 0.2712 0.8809

(2)
VASP calculation (PBE) on a relaxed MgAl3H crystal.

Summary:
Total moment in μB per cell: 0.000
Uncorrected energy in eV/atom: -3.0552
Theoretical density in g/cm3: 2.4
SG: No. 221

Lattice parameters (Å, degrees): 4.2084 4.2084 4.2084 90.00 90.00 90.00
Positions (direct):
Mg: 0.0000 0.0000 0.0000
Al: 0.0000 0.5000 0.5000
Al: 0.5000 0.0000 0.5000
Al: 0.5000 0.5000 0.0000
H: 0.5000 0.5000 0.5000

(3)
VASP calculation (PBE) on a relaxed MgAlH6 crystal.

Summary:
Total moment in μB per cell: 0.000
Uncorrected energy in eV/atom: -2.9891
Theoretical density in g/cm3: 1.5
SG: No. 2

Lattice parameters (Å, degrees): 3.7576 4.2694 4.3852 74.60 70.46 79.92
Positions (direct):
Mg: 0.0000 0.0000 0.0000
Al: 0.5000 0.5000 0.5000
H: 0.0823 0.7040 0.7123
H: 0.2092 0.2251 0.5097
H: 0.4335 0.7412 0.1335
H: 0.5665 0.2588 0.8665
H: 0.7908 0.7749 0.4903
H: 0.9177 0.2960 0.2877

(4)
VASP calculation (PBE) on a relaxed Mg12Al3H5 crystal.

Summary:
Total moment in μB per cell: 0.000
Uncorrected energy in eV/atom: -2.2604
Theoretical density in g/cm3: 1.8
SG: No. 230

Lattice parameters (Å, degrees): 12.2472 12.2472 12.2472 109.47 109.47 109.47
Positions (direct):
Mg: 0.0120 0.2011 0.1085
Mg: 0.0120 0.3109 0.9035
Mg: 0.0926 0.7011 0.6891
Mg: 0.0926 0.8915 0.4035
Mg: 0.0965 0.6085 0.4074
Mg: 0.0965 0.9880 0.6891
Mg: 0.1085 0.0120 0.2011
Mg: 0.1085 0.5965 0.9074
Mg: 0.1891 0.2011 0.5926
Mg: 0.1891 0.4880 0.5965
Mg: 0.2011 0.1085 0.0120
Mg: 0.2011 0.5926 0.1891
Mg: 0.2989 0.3109 0.9074
Mg: 0.2989 0.4880 0.3915
Mg: 0.3109 0.9035 0.0120
Mg: 0.3109 0.9074 0.2989
Mg: 0.3915 0.2989 0.4880
Mg: 0.3915 0.5926 0.9035
Mg: 0.4035 0.0926 0.8915
Mg: 0.4035 0.8109 0.5120
Mg: 0.4074 0.0965 0.6085
Mg: 0.4074 0.8109 0.7989
Mg: 0.4880 0.3915 0.2989
Mg: 0.4880 0.5965 0.1891
Mg: 0.5120 0.4035 0.8109
Mg: 0.5120 0.6085 0.7011
Mg: 0.5926 0.1891 0.2011
Mg: 0.5926 0.9035 0.3915
Mg: 0.5965 0.1891 0.4880
Mg: 0.5965 0.9074 0.1085
Mg: 0.6085 0.4074 0.0965
Mg: 0.6085 0.7011 0.5120
Mg: 0.6891 0.0926 0.7011
Mg: 0.6891 0.0965 0.9880
Mg: 0.7011 0.5120 0.6085
Mg: 0.7011 0.6891 0.0926
Mg: 0.7989 0.4074 0.8109
Mg: 0.7989 0.8915 0.9880
Mg: 0.8109 0.5120 0.4035
Mg: 0.8109 0.7989 0.4074
Mg: 0.8915 0.4035 0.0926
Mg: 0.8915 0.9880 0.7989
Mg: 0.9035 0.0120 0.3109
Mg: 0.9035 0.3915 0.5926
Mg: 0.9074 0.1085 0.5965
Mg: 0.9074 0.2989 0.3109
Mg: 0.9880 0.6891 0.0965
Mg: 0.9880 0.7989 0.8915
Al: 0.1250 0.2500 0.3750
Al: 0.1250 0.3750 0.7500
Al: 0.2500 0.3750 0.1250
Al: 0.2500 0.8750 0.6250
Al: 0.3750 0.1250 0.2500
Al: 0.3750 0.7500 0.1250
Al: 0.6250 0.2500 0.8750
Al: 0.6250 0.8750 0.7500
Al: 0.7500 0.1250 0.3750
Al: 0.7500 0.6250 0.8750
Al: 0.8750 0.6250 0.2500
Al: 0.8750 0.7500 0.6250
H: 0.0000 0.0000 0.0000
H: 0.0000 0.0000 0.5000
H: 0.0000 0.5000 0.0000
H: 0.0000 0.5000 0.5000
H: 0.1250 0.7500 0.8750
H: 0.1250 0.8750 0.2500
H: 0.2500 0.1250 0.8750
H: 0.2500 0.6250 0.3750
H: 0.3750 0.2500 0.6250
H: 0.3750 0.6250 0.7500
H: 0.5000 0.0000 0.0000
H: 0.5000 0.0000 0.5000
H: 0.5000 0.5000 0.0000
H: 0.5000 0.5000 0.5000
H: 0.6250 0.3750 0.2500
H: 0.6250 0.7500 0.3750
H: 0.7500 0.3750 0.6250
H: 0.7500 0.8750 0.1250
H: 0.8750 0.1250 0.7500
H: 0.8750 0.2500 0.1250

(5)
VASP calculation (PBE) on a relaxed Mg2MnAlH crystal.

Summary:
Total moment in μB per cell: 3.049
Uncorrected energy in eV/atom: -3.4185
Theoretical density in g/cm3: 2.4
SG: No. 123

Lattice parameters (Å, degrees): 5.3609 5.3609 3.1568 90.00 90.00 90.00
Positions (direct):
Mg: 0.0000 0.5000 0.0000
Mg: 0.5000 0.0000 0.0000
Mn: 0.0000 0.0000 0.0000
Al: 0.5000 0.5000 0.5000
H: 0.0000 0.0000 0.5000

(6)
VASP calculation (PBE) on a relaxed MgMn2AlH crystal.

Summary:
Total moment in μB per cell: 5.177
Uncorrected energy in eV/atom: -5.4122
Theoretical density in g/cm3: 4.5
SG: No. 123

Lattice parameters (Å, degrees): 3.8676 3.8676 3.9928 90.00 90.00 90.00
Positions (direct):
Mg: 0.0000 0.0000 0.0000
Mn: 0.0000 0.5000 0.5000
Mn: 0.5000 0.0000 0.5000
Al: 0.5000 0.5000 0.0000
H: 0.0000 0.0000 0.5000

(7)
VASP calculation (PBE) on a relaxed MgAl2MoH crystal.

Summary:
Total moment in μB per cell: 2.198
Uncorrected energy in eV/atom: -3.4166
Theoretical density in g/cm3: 2.3
SG: No. 123

Lattice parameters (Å, degrees): 4.9030 4.9030 5.3757 90.00 90.00 90.00
Positions (direct):
Mg: 0.0000 0.0000 0.0000
Al: 0.0000 0.5000 0.5000
Al: 0.5000 0.0000 0.5000
Mo: 0.0000 0.0000 0.5000
H: 0.5000 0.5000 0.0000

(8)
VASP calculation (PBE) on a relaxed NaMgAlH6 crystal.

Summary:
Total moment in μB per cell: 0.000
Uncorrected energy in eV/atom: -3.1044
Theoretical density in g/cm3: 1.5
SG: No. 102

Lattice parameters (Å, degrees): 4.5079 4.5079 8.9192 90.00 90.00 90.00
Positions (direct):
Na: 0.0000 0.0000 0.0000
Na: 0.5000 0.5000 0.5000
Mg: 0.0000 0.0000 0.6666
Mg: 0.5000 0.5000 0.1666
Al: 0.0000 0.0000 0.3345
Al: 0.5000 0.5000 0.8345
H: 0.1755 0.1755 0.4854
H: 0.1992 0.1992 0.1962
H: 0.2273 0.2273 0.8196
H: 0.2727 0.7273 0.3196
H: 0.3008 0.6992 0.6962
H: 0.3245 0.6755 0.9854
H: 0.6755 0.3245 0.9854
H: 0.6992 0.3008 0.6962
H: 0.7273 0.2727 0.3196
H: 0.7727 0.7727 0.8196
H: 0.8008 0.8008 0.1962
H: 0.8245 0.8245 0.4854